Computed, not measured: a relaxed Nd7Tl2Hg crystal at the PBE-GGA level of DFT.

Magnetic moment = 0.472 μB/f.u.
Calculated density = 8.0 g/cm³
Final energy = -3.94 eV/atom
Formation energy = -0.095 eV per atom

Unit cell a=5.4158 b=5.4158 c=13.2102 alpha=90.00 beta=90.00 gamma=120.00
Space group P3m1 (No. 156)
Symmetry-distinct sites (fractional):
Nd (0.0000, 0.0000, 0.0000)
Nd (0.0000, 0.0000, 0.2610)
Nd (0.0000, 0.0000, 0.7351)
Nd (0.3333, 0.6667, 0.4088)
Nd (0.3333, 0.6667, 0.8864)
Nd (0.6667, 0.3333, 0.1288)
Nd (0.6667, 0.3333, 0.5844)
Tl (0.0000, 0.0000, 0.4976)
Tl (0.6667, 0.3333, 0.8449)
Hg (0.3333, 0.6667, 0.1452)


Computed, not measured: a relaxed Zr2ScRh crystal at the PBE-GGA level of DFT.

Magnetic moment = 0.001 μB/f.u.
Calculated density = 6.8 g/cm³
Final energy = -7.92 eV/atom
Formation energy = -0.221 eV per atom

Unit cell a=4.006 b=4.006 c=9.998 alpha=90.00 beta=90.00 gamma=90.00
Space group I-4m2 (No. 119)
Symmetry-distinct sites (fractional):
Zr (0.000, 0.000, 0.000)
Zr (0.000, 0.500, 0.250)
Sc (0.000, 0.000, 0.500)
Rh (0.000, 0.500, 0.750)